Entry 1:
SbOs2Se after structural relaxation, computed with GGA-PBEsol.

The structure in POSCAR format:
```
SbOs2Se
1.0
0.0000 3.1846 3.1846
3.1846 0.0000 3.1846
3.1846 3.1846 0.0000
Sb Os Se
1 2 1
Direct
0.0000 0.0000 0.0000
0.2500 0.2500 0.2500
0.7500 0.7500 0.7500
0.5000 0.5000 0.5000
```

Computed properties:
**Space group**: Fm-3m (225)
**Fermi-level density of states**: 2.89 states/eV/cell
**Formation energy (no corrections)**: 68 kJ per mole of atoms
**M_tot**: 0.00 μB/cell


Entry 2:
Li2YCu2 after structural relaxation, computed with GGA-PBEsol.

The structure in POSCAR format:
```
Li2YCu2
1.0
-1.8504 1.8504 6.2293
1.8504 -1.8504 6.2293
1.8504 1.8504 -6.2293
Li Y Cu
2 1 2
Direct
0.2500 0.7500 0.5000
0.7500 0.2500 0.5000
0.0000 0.0000 0.0000
0.4017 0.4017 0.0000
0.5983 0.5983 0.0000
```

Computed properties:
**Energy of formation**: -0.31 eV per formula unit
**Space group**: I4/mmm (139)
**Fermi-level density of states**: 2.24 states/eV/cell
**M_tot**: 0.00 μB/cell


Entry 3:
TiIr3Ru after structural relaxation, computed with GGA-PBEsol.

The structure in POSCAR format:
```
TiIr3Ru
1.0
4.5962 0.0000 0.0000
0.0000 4.5962 0.0000
0.0000 0.0000 4.5962
Ti Ir Ru
1 3 1
Direct
0.0000 0.0000 0.0000
0.0000 0.5000 0.5000
0.5000 0.0000 0.5000
0.5000 0.5000 0.0000
0.5000 0.5000 0.5000
```

Computed properties:
**Energy of formation**: 8.45 eV per formula unit
**Space group**: Pm-3m (221)
**Fermi-level density of states**: 7.83 states/eV/cell
**M_tot**: 1.03 μB/cell


Entry 4:
Co2As2Br after structural relaxation, computed with GGA-PBEsol.

The structure in POSCAR format:
```
Co2As2Br
1.0
-1.7508 1.7508 7.2522
1.7508 -1.7508 7.2522
1.7508 1.7508 -7.2522
Co As Br
2 2 1
Direct
0.2500 0.7500 0.5000
0.7500 0.2500 0.5000
0.1478 0.1478 0.0000
0.8522 0.8522 0.0000
0.5000 0.5000 0.0000
```

Computed properties:
**Space group**: I4/mmm (139)
**Fermi-level density of states**: 4.55 states/eV/cell
**Formation energy (no corrections)**: -8 kJ per mole of atoms
**M_tot**: 0.00 μB/cell


Entry 5:
LiAl2 after structural relaxation, computed with GGA-PBEsol.

The structure in POSCAR format:
```
LiAl2
1.0
5.2631 -1.4322 0.0000
5.2631 1.4322 0.0000
-1.7694 0.0000 6.4511
Li Al
2 4
Direct
0.1955 0.1955 0.1431
0.8045 0.8045 0.8569
0.1386 0.1386 0.5220
0.4697 0.4697 0.1947
0.5303 0.5303 0.8053
0.8614 0.8614 0.4780
```

Computed properties:
**Energy of formation**: -0.14 eV per formula unit
**Space group**: C2/m (12)
**Fermi-level density of states**: 2.35 states/eV/cell
**M_tot**: 0.00 μB/cell


Entry 6:
NaLuCl4 after structural relaxation, computed with GGA-PBEsol.

The structure in POSCAR format:
```
NaLuCl4
1.0
6.2108 0.0000 0.0000
0.0000 15.7896 0.0000
0.0000 0.0000 6.4926
Na Lu Cl
4 4 16
Direct
0.0000 0.1811 0.2500
0.0000 0.8189 0.7500
0.5000 0.3189 0.7500
0.5000 0.6811 0.2500
0.0000 0.4282 0.2500
0.0000 0.5718 0.7500
0.5000 0.0718 0.7500
0.5000 0.9282 0.2500
0.2311 0.4508 0.5750
0.2311 0.5492 0.0750
0.2389 0.3186 0.1000
0.2389 0.6814 0.6000
0.2611 0.1814 0.6000
0.2611 0.8186 0.1000
0.2689 0.0492 0.0750
0.2689 0.9508 0.5750
0.7311 0.0492 0.4250
0.7311 0.9508 0.9250
0.7389 0.1814 0.9000
0.7389 0.8186 0.4000
0.7611 0.3186 0.4000
0.7611 0.6814 0.9000
0.7689 0.4508 0.9250
0.7689 0.5492 0.4250
```

Computed properties:
**Space group**: Pbcn (60)
**Fermi-level density of states**: 0.00 states/eV/cell
**Formation energy (no corrections)**: -204 kJ per mole of atoms
**M_tot**: 0.00 μB/cell


Entry 7:
HfSiN2 after structural relaxation, computed with GGA-PBEsol.

The structure in POSCAR format:
```
HfSiN2
1.0
-2.3197 2.3197 4.2841
2.3197 -2.3197 4.2841
2.3197 2.3197 -4.2841
Hf Si N
2 2 4
Direct
0.0000 0.0000 0.0000
0.7500 0.2500 0.5000
0.2500 0.7500 0.5000
0.5000 0.5000 0.0000
0.1969 0.6250 0.0719
0.3750 0.4469 0.5719
0.5531 0.1250 0.9281
0.8750 0.8031 0.4281
```

Computed properties:
**Space group**: I-42d (122)
**Fermi-level density of states**: 3.98 states/eV/cell
**Formation energy (no corrections)**: -91 kJ per mole of atoms
**M_tot**: 0.00 μB/cell


Entry 8:
La5Hg4 after structural relaxation, computed with GGA-PBEsol.

The structure in POSCAR format:
```
La5Hg4
1.0
9.4718 0.0000 0.0000
-4.7359 8.2028 0.0000
0.0000 0.0000 6.7897
La Hg
10 8
Direct
0.0000 0.2891 0.2500
0.0000 0.7109 0.7500
0.2891 0.0000 0.2500
0.2891 0.2891 0.7500
0.3333 0.6667 0.0000
0.3333 0.6667 0.5000
0.6667 0.3333 0.0000
0.6667 0.3333 0.5000
0.7109 0.0000 0.7500
0.7109 0.7109 0.2500
0.0000 0.0000 0.0000
0.0000 0.0000 0.5000
0.0000 0.3753 0.7500
0.0000 0.6247 0.2500
0.3753 0.0000 0.7500
0.3753 0.3753 0.2500
0.6247 0.0000 0.2500
0.6247 0.6247 0.7500
```

Computed properties:
**Energy of formation**: -3.87 eV per formula unit
**Space group**: P6_3/mcm (193)
**Fermi-level density of states**: 26.08 states/eV/cell
**M_tot**: 0.00 μB/cell


Entry 9:
CrRe3H after structural relaxation, computed with GGA-PBEsol.

The structure in POSCAR format:
```
CrRe3H
1.0
3.8689 0.0000 0.0000
0.0000 3.8689 0.0000
0.0000 0.0000 3.8689
Cr Re H
1 3 1
Direct
0.0000 0.0000 0.0000
0.0000 0.5000 0.5000
0.5000 0.0000 0.5000
0.5000 0.5000 0.0000
0.5000 0.5000 0.5000
```

Computed properties:
**Space group**: Pm-3m (221)
**Fermi-level density of states**: 4.27 states/eV/cell
**Calculated total energy**: -10.49 eV per atom
**M_tot**: 0.00 μB/cell


Entry 10:
CrCd2Cl after structural relaxation, computed with GGA-PBEsol.

The structure in POSCAR format:
```
CrCd2Cl
1.0
1.6333 0.9430 8.7159
-1.6333 0.9430 8.7159
0.0000 -1.8859 8.7159
Cr Cd Cl
1 2 1
Direct
0.0000 0.0000 0.0000
0.5026 0.5026 0.5026
0.7472 0.7472 0.7472
0.2728 0.2728 0.2728
```

Computed properties:
**Space group**: R3m (160)
**Fermi-level density of states**: 2.44 states/eV/cell
**Formation energy (no corrections)**: 3 kJ per mole of atoms
**M_tot**: 4.05 μB/cell


Entry 11:
ZrNi2P after structural relaxation, computed with GGA-PBEsol.

The structure in POSCAR format:
```
ZrNi2P
1.0
0.0000 2.6059 4.2747
2.5542 0.0000 4.2747
2.5542 2.6059 0.0000
Zr Ni P
1 2 1
Direct
0.0000 0.0000 0.0000
0.0000 0.5000 0.5000
0.5000 0.0000 0.0000
0.5000 0.5000 0.5000
```

Computed properties:
**Energy of formation**: -1.34 eV per formula unit
**Space group**: Fmmm (69)
**Fermi-level density of states**: 2.38 states/eV/cell
**M_tot**: 0.00 μB/cell


Entry 12:
TcPbAu2 after structural relaxation, computed with GGA-PBEsol.

The structure in POSCAR format:
```
TcPbAu2
1.0
0.0000 3.2908 3.2908
3.2908 0.0000 3.2908
3.2908 3.2908 0.0000
Tc Pb Au
1 1 2
Direct
0.0000 0.0000 0.0000
0.2500 0.2500 0.2500
0.5000 0.5000 0.5000
0.7500 0.7500 0.7500
```

Computed properties:
**Energy of formation**: 2.12 eV per formula unit
**Space group**: F-43m (216)
**Fermi-level density of states**: 3.66 states/eV/cell
**M_tot**: 0.01 μB/cell